This record from Alexandria via LeMat-Bulk describes crystalline Er8Ge3Te4Rh at its relaxed geometry. The functional is PBE-GGA.

Geometry as POSCAR:
```
Er8Ge3Te4Rh
1.0
8.366 0.000 0.000
0.000 8.549 0.122
-4.183 -4.179 5.921
Er Ge Te Rh
8 3 4 1
Direct
0.236 0.714 0.978
0.236 0.714 0.472
0.260 0.279 0.519
0.742 0.714 0.978
0.258 0.286 0.022
0.740 0.721 0.481
0.764 0.286 0.528
0.764 0.286 0.022
0.500 0.500 0.000
0.500 0.500 0.500
0.000 0.500 0.500
0.500 0.000 0.000
0.500 0.000 0.500
0.000 0.000 0.000
0.000 0.000 0.500
0.000 0.500 0.000
```

Results
Energy relative to the elements, uncorrected in eV per atom: -1.105
Total moment in Bohr magnetons per cell: 0.0


This record from Alexandria via LeMat-Bulk describes crystalline YGeNF2 at its relaxed geometry. The functional is PBE-GGA.

Geometry as POSCAR:
```
YGeNF2
1.0
4.291 0.000 0.000
0.000 4.291 0.000
0.000 0.000 3.954
Y Ge N F
1 1 1 2
Direct
0.500 0.500 0.500
0.000 0.000 0.000
0.000 0.000 0.500
0.000 0.500 0.000
0.500 0.000 0.000
```

Results
Energy relative to the elements, uncorrected in eV per atom: -1.169
Total moment in Bohr magnetons per cell: 0.8


This record from Alexandria via LeMat-Bulk describes crystalline Ca2NbBiRu at its relaxed geometry. The functional is PBE-GGA.

Geometry as POSCAR:
```
Ca2NbBiRu
1.0
-1.337 -5.417 -0.967
5.018 -1.008 -1.288
1.138 -1.246 5.405
Ru Nb Ca Bi
1 1 2 1
Direct
0.500 0.500 0.500
0.000 0.500 0.000
0.000 0.000 0.500
0.500 0.000 0.000
0.000 0.000 0.000
```

Results
Energy of formation in meV/atom: 1424
Total moment in Bohr magnetons per cell: 0.0


This record from Alexandria via LeMat-Bulk describes crystalline La4HoTh at its relaxed geometry. The functional is PBE-GGA.

Geometry as POSCAR:
```
La4HoTh
1.0
-3.223 1.376 -0.206
-1.811 -0.636 -5.816
-5.691 -8.564 1.895
La Ho Th
4 1 1
Direct
0.665 0.511 0.160
0.335 0.489 0.840
0.153 0.035 0.658
0.847 0.965 0.342
0.000 0.000 0.000
0.500 0.500 0.500
```

Results
Energy of formation in meV/atom: 179
Total moment in Bohr magnetons per cell: 0.0


This record from Alexandria via LeMat-Bulk describes crystalline ZnGeOsSe2 at its relaxed geometry. The functional is PBE-GGA.

Geometry as POSCAR:
```
ZnGeOsSe2
1.0
-4.008 -2.725 1.160
2.792 -3.850 0.604
0.588 1.180 4.805
Ge Os Zn Se
1 1 1 2
Direct
0.000 0.500 0.000
0.000 0.000 0.000
0.500 0.500 0.500
0.000 0.000 0.500
0.500 0.000 0.000
```

Results
Energy relative to the elements, uncorrected in eV per atom: 0.601
Total moment in Bohr magnetons per cell: 0.0


This record from Alexandria via LeMat-Bulk describes crystalline SrPm2PuN4 at its relaxed geometry. The functional is PBE-GGA.

Geometry as POSCAR:
```
SrPm2PuN4
1.0
-6.147 -3.666 -0.702
2.054 -2.354 -6.477
4.213 -1.093 5.734
Sr Pm Pu N
2 4 2 8
Direct
0.000 0.500 0.000
0.000 0.500 0.500
0.500 0.000 0.000
0.500 0.000 0.500
0.000 0.000 0.500
0.500 0.500 0.000
0.500 0.500 0.500
0.000 0.000 0.000
0.234 0.793 0.013
0.707 0.266 0.487
0.293 0.733 0.513
0.767 0.207 0.987
0.744 0.756 0.997
0.744 0.756 0.503
0.256 0.244 0.497
0.256 0.244 0.003
```

Results
Energy relative to the elements, uncorrected in eV per atom: -1.159
Total moment in Bohr magnetons per cell: 7.9